1.
A relaxed Tc2MoBr crystal, computed with PBE.

raw total energy: -29.21 eV for the cell shown
space group: No. 119
DOS(E_F): 1.05 states/eV per atom

a b c (Å): 5.166 5.166 5.166
angles (deg): 137.05 137.05 62.37
Fractional coordinates of all 4 atoms:
Mo: 0.750 0.250 0.500
Br: 0.500 0.500 0.000
Tc: 0.250 0.750 0.500
Tc: 0.000 0.000 0.000

2.
A relaxed Tc2MoBr crystal, computed with PBE.

raw total energy: -30.14 eV for the cell shown
space group: No. 47
DOS(E_F): 0.86 states/eV per atom

a b c (Å): 2.970 4.629 4.535
angles (deg): 90.00 90.00 90.00
Fractional coordinates of all 4 atoms:
Tc: 0.500 0.500 0.000
Tc: 0.000 0.000 0.000
Mo: 0.000 0.500 0.500
Br: 0.500 0.000 0.500

3.
A relaxed Tc2MoBr crystal, computed with PBE.

raw total energy: -30.52 eV for the cell shown
space group: No. 8
DOS(E_F): 0.90 states/eV per atom

a b c (Å): 5.167 5.167 4.423
angles (deg): 87.01 87.01 33.82
Fractional coordinates of all 4 atoms:
Tc: 0.994 0.994 0.980
Mo: 0.282 0.282 0.224
Tc: 0.720 0.720 0.793
Br: 0.504 0.504 0.503

4.
A relaxed Tc2MoBr crystal, computed with PBE.

raw total energy: -31.30 eV for the cell shown
space group: No. 123
DOS(E_F): 0.63 states/eV per atom

a b c (Å): 3.088 3.088 6.844
angles (deg): 90.00 90.00 90.00
Fractional coordinates of all 4 atoms:
Tc: 0.000 0.000 0.526
Br: 0.500 0.500 0.250
Tc: 0.000 0.000 0.974
Mo: 0.500 0.500 0.750

5.
A relaxed TcMoBr crystal, computed with PBE.

raw total energy: -20.20 eV for the cell shown
space group: No. 44
DOS(E_F): 1.11 states/eV per atom

a b c (Å): 4.695 4.695 4.695
angles (deg): 142.67 127.85 65.87
Fractional coordinates of all 3 atoms:
Tc: 0.670 0.670 0.000
Mo: 0.330 0.330 0.000
Br: 0.000 0.000 0.000

6.
A relaxed TcMo3Br crystal, computed with PBE.

raw total energy: -35.27 eV for the cell shown
space group: No. 221
DOS(E_F): 1.34 states/eV per atom

a b c (Å): 4.537 4.537 4.537
angles (deg): 90.00 90.00 90.00
Fractional coordinates of all 5 atoms:
Mo: 0.000 0.000 0.500
Mo: 0.500 0.000 0.000
Tc: 0.500 0.500 0.500
Mo: 0.000 0.500 0.000
Br: 0.000 0.000 0.000

7.
A relaxed Tc2MoBr crystal, computed with PBE.

raw total energy: -30.30 eV for the cell shown
space group: No. 35
DOS(E_F): 1.17 states/eV per atom

a b c (Å): 2.862 2.862 9.021
angles (deg): 90.00 90.00 116.09
Fractional coordinates of all 4 atoms:
Tc: 0.500 0.500 0.233
Tc: 0.000 0.000 0.001
Mo: 0.500 0.500 0.765
Br: 0.000 0.000 0.501

8.
A relaxed Tc2MoBr crystal, computed with PBE.

raw total energy: -56.83 eV for the cell shown
space group: No. 122
DOS(E_F): 1.05 states/eV per atom

a b c (Å): 5.628 5.628 6.888
angles (deg): 65.89 65.89 90.00
Fractional coordinates of all 8 atoms:
Mo: 0.750 0.250 0.500
Tc: 0.375 0.369 0.750
Tc: 0.875 0.881 0.750
Tc: 0.631 0.125 0.250
Tc: 0.119 0.625 0.250
Br: 0.500 0.500 0.000
Br: 0.250 0.750 0.500
Mo: 0.000 0.000 0.000

What magnetization values result from the calculations? In sequence: 0.00; 0.00; 0.00; 0.00; 0.00; 0.03; 0.00; 0.00 μB/f.u..